No. 1
The following is a PBE calculation of Dy3BiSb2 after structural relaxation, from the Open Quantum Materials Database.

Results
Calculated volume, Å³/cell: 182
M_tot, μB/cell: 0.00
Calculated total energy, eV per cell: -32.37

Cell: 4.4010 4.4010 10.8525 Å, 90.00 90.00 120.00°
Closest atoms and distances in Å follow each position.
Space group P-3m1 (No. 164)
Symmetry-distinct sites (fractional):
Dy 0.0000 0.0000 0.0000 [1 per cell]  6 Sb 3.11
Dy 0.3333 0.6667 0.6717 [2 per cell]  3 Sb 3.10, 3 Bi 3.15
Bi 0.0000 0.0000 0.5000 [1 per cell]  6 Dy 3.15
Sb 0.3333 0.6667 0.1649 [2 per cell]  6 Dy 3.10-3.11

No. 2
The following is a PBE calculation of Co2Si3 after structural relaxation, from the Open Quantum Materials Database.

Results
Calculated volume, Å³/cell: 59
M_tot, μB/cell: 0.01
Calculated total energy, eV per cell: -32.82

Cell: 3.8369 3.8369 4.6528 Å, 90.00 90.00 120.00°
Closest atoms and distances in Å follow each position.
Space group P-3m1 (No. 164)
Symmetry-distinct sites (fractional):
Co 0.3333 0.6667 0.1575 [2 per cell]  8 Si 2.27-2.40
Si 0.0000 0.0000 0.0000 [1 per cell]  6 Co 2.33
Si 0.3333 0.6667 0.6451 [2 per cell]  5 Co 2.27-2.40

No. 3
The following is a PBE calculation of DyHo2Cd5 after structural relaxation, from the Open Quantum Materials Database.

Results
Calculated volume, Å³/cell: 390
Formation energy, meV/atom: -289
M_tot, μB/cell: 0.02
Calculated total energy, eV per cell: -41.08

Cell: 5.0937 7.3179 10.4605 Å, 90.00 90.00 90.00°
Closest atoms and distances in Å follow each position.
Space group Amm2 (No. 38)
Symmetry-distinct sites (fractional):
Dy 0.0000 0.0000 0.0000 [2 per cell]  8 Cd 3.06-3.34
Ho 0.0000 0.0000 0.5427 [2 per cell]  10 Cd 3.12-3.39
Ho 0.5000 0.0000 0.2430 [2 per cell]  8 Cd 3.08-3.23
Cd 0.0000 0.2323 0.2750 [4 per cell]  2 Dy 3.06-3.34, 4 Ho 3.08-3.28, 5 Cd 3.22-3.42
Cd 0.5000 0.0000 0.7567 [2 per cell]  8 Cd 3.13-3.26, 2 Ho 3.39
Cd 0.5000 0.2401 0.4937 [4 per cell]  4 Cd 3.13-3.42, 4 Ho 3.14-3.23, 2 Dy 3.18

No. 4
The following is a PBE calculation of YGaCoRe after structural relaxation, from the Open Quantum Materials Database.

Results
Calculated volume, Å³/cell: 275
Energy relative to the lowest polymorph listed for this composition, eV/atom: 0.113
M_tot, μB/cell: 13.10
Calculated total energy, eV per cell: -109.52

Cell: 6.4998 6.4998 6.4998 Å, 90.00 90.00 90.00°
Closest atoms and distances in Å follow each position.
Space group F-43m (No. 216)
Symmetry-distinct sites (fractional):
Y 0.0000 0.0000 0.0000 [4 per cell]  4 Ga 2.81, 4 Re 2.81
Ga 0.2500 0.2500 0.2500 [4 per cell]  4 Co 2.81, 4 Y 2.81
Co 0.0000 0.0000 0.5000 [4 per cell]  4 Re 2.81, 4 Ga 2.81
Re 0.2500 0.2500 0.7500 [4 per cell]  4 Co 2.81, 4 Y 2.81

- Among the records above, which one has the lowest M_tot?
  Dy3BiSb2

- What is the formula in the second record?
  Co2Si3